(1)
BaHfOs | PBE | optimized geometry

* calculated total energy: -5.7368 eV/atom
* symmetry: F-43m (216)

The structure in extended XYZ format:
```
3
Lattice="0.0000 3.3478 3.3478 3.3478 0.0000 3.3478 3.3478 3.3478 0.0000" Properties=species:S:1:pos:R:3 pbc="T T T"
Ba 0.0000 0.0000 0.0000
Hf 1.6739 1.6739 1.6739
Os 5.0217 5.0217 5.0217
```


(2)
Ta8Ni5 | PBE | optimized geometry

* calculated total energy: -9.1396 eV/atom
* symmetry: R-3m (166)
* E_form: 0.30 eV/atom

The structure in extended XYZ format:
```
13
Lattice="1.7093 -4.3363 8.0267 6.1039 -4.7956 5.0890 5.1344 -0.2950 7.7268" Properties=species:S:1:pos:R:3 pbc="T T T"
Ni 0.0000 0.0000 0.0000
Ni 4.5741 -3.3303 7.3632
Ni 5.8451 -4.2557 9.4092
Ni 7.1025 -5.1712 11.4334
Ni 8.3736 -6.0967 13.4795
Ta 2.0635 -3.0394 5.9441
Ta 4.2481 -3.2677 4.4837
Ta 2.1638 -1.5754 3.4832
Ta 9.1814 -8.3966 15.0476
Ta 3.7662 -1.0304 5.7950
Ta 10.7838 -7.8516 17.3595
Ta 8.6995 -6.1593 16.3589
Ta 10.8842 -6.3876 14.8985
```


(3)
KCuMoPt | PBE | optimized geometry

* calculated total energy: -4.2244 eV/atom
* symmetry: F-43m (216)

The structure in extended XYZ format:
```
4
Lattice="0.0000 3.3258 3.3258 3.3258 0.0000 3.3258 3.3258 3.3258 0.0000" Properties=species:S:1:pos:R:3 pbc="T T T"
Cu 4.9887 4.9887 4.9887
K 1.6629 1.6629 1.6629
Mo 0.0000 0.0000 0.0000
Pt 3.3258 3.3258 3.3258
```


(4)
LiTaBIr | PBE | optimized geometry

* calculated total energy: -7.2716 eV/atom
* symmetry: F-43m (216)

The structure in extended XYZ format:
```
4
Lattice="0.0000 2.9646 2.9646 2.9646 0.0000 2.9646 2.9646 2.9646 0.0000" Properties=species:S:1:pos:R:3 pbc="T T T"
B 2.9646 2.9646 2.9646
Ir 0.0000 0.0000 0.0000
Li 4.4469 4.4469 4.4469
Ta 1.4823 1.4823 1.4823
```


(5)
Hf2MgPd3 | PBE | optimized geometry

* calculated total energy: -6.8184 eV/atom
* symmetry: P4mm (99)

The structure in extended XYZ format:
```
6
Lattice="-2.9017 -1.6396 -0.9467 0.2197 -2.0125 2.8118 -4.8070 5.8661 4.5742" Properties=species:S:1:pos:R:3 pbc="T T T"
Hf -2.4733 3.0182 2.3535
Hf -6.0220 3.8862 5.3868
Mg -0.8676 1.0587 0.8255
Pd -2.9259 0.1080 2.4406
Pd -4.5055 2.0357 3.9438
Pd -4.0534 4.9464 3.8570
```


(6)
SrLiFeAs2 | PBE | optimized geometry

* calculated total energy: -4.8519 eV/atom
* symmetry: I-4m2 (119)

The structure in extended XYZ format:
```
5
Lattice="-2.0669 2.0669 5.5915 2.0669 -2.0669 5.5915 2.0669 2.0669 -5.5915" Properties=species:S:1:pos:R:3 pbc="T T T"
As 0.0000 2.0669 1.3101
As 0.0000 2.0669 4.2814
Fe 0.0000 0.0000 0.0000
Li 0.0000 0.0000 5.5915
Sr 2.0669 0.0000 2.7957
```


(7)
MgScAlFe | PBE | optimized geometry

* calculated total energy: -5.0340 eV/atom
* symmetry: F-43m (216)

The structure in extended XYZ format:
```
4
Lattice="0.0000 3.2157 3.2157 3.2157 0.0000 3.2157 3.2157 3.2157 0.0000" Properties=species:S:1:pos:R:3 pbc="T T T"
Al 0.0000 0.0000 0.0000
Fe 4.8236 4.8236 4.8236
Mg 3.2157 3.2157 3.2157
Sc 1.6079 1.6079 1.6079
```


(8)
Pr2SnSe3 | PBE | optimized geometry

* calculated total energy: -5.3314 eV/atom
* symmetry: P-3m1 (164)

The structure in extended XYZ format:
```
6
Lattice="4.2748 0.0000 0.0000 -2.1374 3.7021 0.0000 0.0000 0.0000 10.6059" Properties=species:S:1:pos:R:3 pbc="T T T"
Pr 0.0000 2.4681 1.6311
Pr 2.1374 1.2340 8.9748
Se 0.0000 0.0000 0.0000
Se 2.1374 1.2340 3.5321
Se 0.0000 2.4681 7.0738
Sn 0.0000 0.0000 5.3029
```


(9)
CsGaMo | PBE | optimized geometry

* calculated total energy: -2.8317 eV/atom
* symmetry: F-43m (216)

The structure in extended XYZ format:
```
3
Lattice="1.9682 1.2313 5.0911 -1.8725 4.5268 2.7040 -3.2903 -0.5837 4.4881" Properties=species:S:1:pos:R:3 pbc="T T T"
Cs 0.0000 0.0000 0.0000
Ga -0.7986 1.2936 3.0708
Mo -2.3959 3.8808 9.2124
```


(10)
RbZrSn | PBE | optimized geometry

* calculated total energy: -3.7874 eV/atom
* symmetry: F-43m (216)

The structure in extended XYZ format:
```
3
Lattice="0.0000 3.7802 3.7802 3.7802 0.0000 3.7802 3.7802 3.7802 0.0000" Properties=species:S:1:pos:R:3 pbc="T T T"
Rb 1.8901 1.8901 1.8901
Sn 0.0000 0.0000 0.0000
Zr 5.6703 5.6703 5.6703
```


(11)
Gd4SiO3 | PBE | optimized geometry

* calculated total energy: -6.9891 eV/atom
* symmetry: I4/mmm (139)

The structure in extended XYZ format:
```
8
Lattice="-2.5976 2.5976 5.0864 2.5976 -2.5976 5.0864 2.5976 2.5976 -5.0864" Properties=species:S:1:pos:R:3 pbc="T T T"
Gd 0.0000 0.0000 2.7051
Gd 0.0000 0.0000 7.4677
Gd 0.0000 2.5976 0.0000
Gd 2.5976 0.0000 0.0000
O 0.0000 0.0000 5.0864
O 0.0000 2.5976 2.5432
O 2.5976 0.0000 2.5432
Si 0.0000 0.0000 0.0000
```


(12)
CoBr6 | PBE | optimized geometry

* calculated total energy: -2.4120 eV/atom
* symmetry: R-3 (148)

The structure in extended XYZ format:
```
7
Lattice="3.3489 1.9335 5.0197 -3.3489 1.9335 5.0197 0.0000 -3.8670 5.0197" Properties=species:S:1:pos:R:3 pbc="T T T"
Br 1.3585 1.9477 6.3285
Br -1.0075 2.1504 8.7306
Br -2.3660 0.2027 6.3285
Br 2.3660 -0.2027 8.7306
Br 1.0075 -2.1504 6.3285
Br -1.3585 -1.9477 8.7306
Co 0.0000 0.0000 0.0000
```


(13)
LiCuGeIr | PBE | optimized geometry

* calculated total energy: -5.0108 eV/atom
* symmetry: F-43m (216)

The structure in extended XYZ format:
```
4
Lattice="0.0000 2.9576 2.9576 2.9576 0.0000 2.9576 2.9576 2.9576 0.0000" Properties=species:S:1:pos:R:3 pbc="T T T"
Cu 4.4364 4.4364 4.4364
Ge 0.0000 0.0000 0.0000
Ir 1.4788 1.4788 1.4788
Li 2.9576 2.9576 2.9576
```


(14)
HfZnCuBi | PBE | optimized geometry

* calculated total energy: -4.4283 eV/atom
* symmetry: F-43m (216)

The structure in extended XYZ format:
```
4
Lattice="-3.5956 -2.0917 2.4704 -3.9700 2.5345 1.1052 -4.1925 -0.9892 -2.2023" Properties=species:S:1:pos:R:3 pbc="T T T"
Bi 0.0000 0.0000 0.0000
Cu -8.8185 -0.4098 1.0299
Hf -2.9395 -0.1366 0.3433
Zn -5.8790 -0.2732 0.6866
```


(15)
PmSnPO | PBE | optimized geometry

* calculated total energy: -6.0368 eV/atom
* symmetry: Pmc2_1 (26)

The structure in extended XYZ format:
```
8
Lattice="-1.2573 -0.8400 -4.2680 -5.6046 -2.3908 2.1216 -2.6166 5.8043 -0.3716" Properties=species:S:1:pos:R:3 pbc="T T T"
O -5.8776 0.4326 1.6464
O -3.2584 5.0102 -0.0262
P -3.1966 0.7942 -1.6164
P -6.7201 2.7515 -0.9637
Pm -4.8628 -1.6325 1.7539
Pm -2.3842 2.8850 0.1345
Sn -5.7634 0.3767 -0.7781
Sn -4.6655 4.3052 -1.8748
```


(16)
Gd2Mo | PBE | optimized geometry

* calculated total energy: -4.9438 eV/atom
* symmetry: Fd-3m (227)
* E_form: 1.78 eV/atom

The structure in extended XYZ format:
```
6
Lattice="4.0944 2.3639 6.6861 -4.0944 2.3639 6.6861 0.0000 -4.7278 6.6861" Properties=species:S:1:pos:R:3 pbc="T T T"
Gd 2.0472 1.1819 10.8648
Gd -2.0472 1.1819 10.8648
Gd 0.0000 0.0000 7.5218
Gd 0.0000 -2.3639 10.8648
Mo 0.0000 0.0000 5.0145
Mo 0.0000 0.0000 10.0291
```


(17)
La2Ge4IrPd | PBE | optimized geometry

* calculated total energy: -6.1278 eV/atom
* symmetry: Amm2 (38)

The structure in extended XYZ format:
```
8
Lattice="4.4498 0.0000 0.0000 0.0000 2.2050 8.6770 0.0000 -2.2050 8.6770" Properties=species:S:1:pos:R:3 pbc="T T T"
Ge 0.0000 0.0000 0.6860
Ge 2.2249 0.0000 4.3042
Ge 0.0000 0.0000 13.0039
Ge 2.2249 0.0000 16.7242
Ir 0.0000 0.0000 3.1194
La 0.0000 0.0000 6.7844
La 2.2249 0.0000 10.5430
Pd 2.2249 0.0000 14.2510
```


(18)
MgSiOs | PBE | optimized geometry

* calculated total energy: -6.3712 eV/atom
* symmetry: I4mm (107)

The structure in extended XYZ format:
```
3
Lattice="4.2943 0.0881 2.7260 0.5930 -0.5655 5.0208 -2.2273 -1.9358 -4.1438" Properties=species:S:1:pos:R:3 pbc="T T T"
Mg 4.5732 -0.4467 7.2490
Os 3.0620 -0.2991 4.8536
Si 1.2003 -0.1172 1.9025
```


(19)
Cu | PBE | optimized geometry

* calculated total energy: -3.6797 eV/atom
* symmetry: R-3m (166)
* E_form: 0.04 eV/atom

The structure in extended XYZ format:
```
1
Lattice="0.0000 -1.5040 1.9571 -1.3025 0.7520 1.9571 -1.3025 -0.7520 -1.9571" Properties=species:S:1:pos:R:3 pbc="T T T"
Cu 0.0000 0.0000 0.0000
```


(20)
AcLaIr | PBE | optimized geometry

* calculated total energy: -6.5689 eV/atom
* symmetry: P2_1/m (11)
* E_form: -0.61 eV/atom

The structure in extended XYZ format:
```
6
Lattice="-3.9574 -4.7568 2.8708 2.4148 0.1609 3.5955 -4.4184 5.4183 2.7250" Properties=species:S:1:pos:R:3 pbc="T T T"
Ac -3.0607 -1.3129 6.0328
Ac -2.9004 2.1353 3.1585
Ir -0.4920 1.3411 1.5765
Ir -5.4690 -0.5187 7.6148
La 0.5886 -0.4640 3.5438
La -6.5497 1.2865 5.6475
```


(21)
Gd2Mg2Cu3Ag | PBE | optimized geometry

* calculated total energy: -3.5144 eV/atom
* symmetry: Pm (6)

The structure in extended XYZ format:
```
8
Lattice="-4.2752 -1.3116 -1.7175 2.1528 -2.6314 -3.3492 -0.0229 -5.3546 4.1923" Properties=species:S:1:pos:R:3 pbc="T T T"
Ag -1.1383 -4.3656 2.6984
Cu -1.1360 -1.6781 0.5883
Cu -2.0728 -3.6272 -1.8827
Cu -2.0932 -6.2907 0.1968
Gd -3.2539 -1.0612 -1.2578
Gd 0.0452 -4.2433 -0.0373
Mg 0.0051 -1.6626 -2.0907
Mg -3.2198 -3.6445 0.7938
```


(22)
B3Pd16 | PBE | optimized geometry

* calculated total energy: -5.6274 eV/atom
* symmetry: C2/c (15)

The structure in extended XYZ format:
```
38
Lattice="-6.3364 4.2954 4.9961 -5.1036 -3.6050 6.6724 8.5371 1.8669 2.5202" Properties=species:S:1:pos:R:3 pbc="T T T"
B -9.4766 1.4928 9.3272
B -3.7399 1.7997 6.2547
B 2.0155 1.9877 3.2075
B -4.9184 0.5696 10.9812
B 0.8370 0.7577 7.9340
B 6.5738 1.0646 4.8615
Pd -2.3058 1.1862 1.9593
Pd -9.1342 -0.4958 9.7092
Pd -4.5861 -2.6589 5.7798
Pd -3.4355 -0.7462 3.8703
Pd -6.2414 -0.5833 6.8048
Pd -4.5819 -2.0833 8.5232
Pd -6.3231 -0.0061 9.5648
Pd -5.1958 1.8917 7.7358
Pd -4.0536 3.8102 5.8282
Pd -3.4258 -0.2131 6.6818
Pd -2.2854 1.7170 4.7717
Pd -0.5423 -0.3313 3.7799
Pd -1.6624 -2.2339 5.6659
Pd -0.6227 0.2377 6.5417
Pd -3.4350 0.4414 9.4675
Pd -1.6603 -1.6450 8.4065
Pd -5.1956 2.5517 10.5208
Pd 2.2927 0.0057 3.6680
Pd -1.2426 4.2024 5.7822
Pd 0.5321 2.1159 4.7212
Pd -2.2802 2.3196 7.6470
Pd -1.2405 4.7913 8.5228
Pd -2.3606 2.8887 10.4088
Pd -0.6175 0.8404 9.4170
Pd 0.5229 2.7705 7.5069
Pd 1.1507 -1.2528 8.3605
Pd 2.2929 0.6657 6.4529
Pd 3.4202 2.5634 4.6239
Pd 1.6790 4.6406 5.6655
Pd 3.3385 3.1406 7.3839
Pd 0.5326 3.3035 10.3184
Pd 1.6832 5.2162 8.4089
```


(23)
InAgSO | PBE | optimized geometry

* calculated total energy: -4.1122 eV/atom
* symmetry: Pca2_1 (29)

The structure in extended XYZ format:
```
16
Lattice="6.4438 0.0000 0.0000 0.0000 8.3403 0.0000 0.0000 0.0000 6.0481" Properties=species:S:1:pos:R:3 pbc="T T T"
Ag 2.4789 0.5133 0.0321
Ag 5.7008 7.8270 0.0321
Ag 0.7430 0.5133 3.0562
Ag 3.9649 7.8270 3.0562
In 6.0785 2.9347 0.1190
In 2.8566 5.4056 0.1190
In 3.5872 2.9347 3.1430
In 0.3653 5.4056 3.1430
O 0.4407 1.2253 0.7716
O 3.6627 7.1150 0.7716
O 2.7811 1.2253 3.7957
O 6.0030 7.1150 3.7957
S 3.5650 3.0161 0.5893
S 0.3431 5.3241 0.5893
S 6.1007 3.0161 3.6134
S 2.8788 5.3241 3.6134
```


(24)
BaHg2Pb | PBE | optimized geometry

* calculated total energy: -1.9844 eV/atom
* symmetry: Fm-3m (225)

The structure in extended XYZ format:
```
24
Lattice="5.5750 0.0000 0.0000 0.0000 7.8818 0.0000 0.0000 0.0000 16.7224" Properties=species:S:1:pos:R:3 pbc="T T T"
Ba 0.0000 3.9409 0.0000
Ba 2.7875 0.0000 2.7872
Ba 0.0000 3.9409 5.5740
Ba 2.7875 0.0000 8.3612
Ba 0.0000 3.9409 11.1484
Ba 2.7875 0.0000 13.9352
Hg 2.7875 1.9695 0.0000
Hg 2.7875 5.9122 0.0000
Hg 0.0000 1.9711 2.7870
Hg 0.0000 5.9107 2.7870
Hg 2.7874 1.9698 5.5742
Hg 2.7874 5.9120 5.5742
Hg 0.0000 1.9713 8.3612
Hg 0.0000 5.9104 8.3612
Hg 2.7876 1.9698 11.1482
Hg 2.7876 5.9120 11.1482
Hg 0.0000 1.9711 13.9355
Hg 0.0000 5.9107 13.9355
Pb 0.0000 0.0000 0.0000
Pb 2.7874 3.9409 2.7864
Pb 0.0000 0.0000 5.5747
Pb 2.7875 3.9409 8.3612
Pb 0.0000 0.0000 11.1477
Pb 2.7876 3.9409 13.9360
```


(25)
DyReSb | PBE | optimized geometry

* calculated total energy: -6.6119 eV/atom
* symmetry: F-43m (216)

The structure in extended XYZ format:
```
3
Lattice="3.0403 2.2191 2.7906 -0.8745 0.3755 4.5880 2.5597 -2.4329 3.0797" Properties=species:S:1:pos:R:3 pbc="T T T"
Dy 1.1814 0.0404 2.6146
Re 3.5442 0.1213 7.8437
Sb 0.0000 0.0000 0.0000
```